Record 1
First-principles (PBE) data for a relaxed structure of Pr4Pb3, as listed in Alexandria.

Computed properties:
formation enthalpy at 0 K = -0.585 eV/atom
distance to the lowest polymorph of the same formula = 0.000 eV per atom
size of the total moment = 0.00 μB/cell

Cell: 8.4771 8.4771 8.4771 Å, 109.47 109.47 109.47°
Element x y z (fractional)
Pr (0.0000, 0.0000, 0.8622)
Pr (0.0000, 0.0000, 0.3622)
Pb (0.3750, 0.1250, 0.7500)
Pb (0.1250, 0.3750, 0.2500)
Pr (0.5000, 0.3622, 0.5000)
Pr (0.5000, 0.8622, 0.5000)
Pb (0.2500, 0.8750, 0.1250)
Pb (0.8750, 0.2500, 0.6250)
Pr (0.8622, 0.5000, 0.0000)
Pr (0.3622, 0.5000, 0.0000)
Pb (0.7500, 0.6250, 0.3750)
Pr (0.6378, 0.1378, 0.1378)
Pb (0.6250, 0.7500, 0.8750)
Pr (0.1378, 0.6378, 0.6378)


Record 2
First-principles (PBE) data for a relaxed structure of PrPb3, as listed in Alexandria.

Computed properties:
formation enthalpy at 0 K = -0.387 eV/atom
size of the total moment = 0.00 μB/cell

Cell: 4.9434 4.9471 4.9485 Å, 90.00 90.00 90.00°
Element x y z (fractional)
Pb (0.5000, 0.5000, 0.9167)
Pb (0.0000, 0.0000, 0.9167)
Pb (0.5000, 0.0000, 0.4165)
Pr (0.0000, 0.5000, 0.4167)


Record 3
First-principles (PBE) data for a relaxed structure of Pr5Pb3, as listed in Alexandria.

Computed properties:
formation enthalpy at 0 K = -0.536 eV/atom
distance to the lowest polymorph of the same formula = 0.000 eV per atom
size of the total moment = 0.00 μB/cell

Cell: 9.4839 9.4839 6.9504 Å, 90.00 90.00 120.00°
Element x y z (fractional)
Pr (0.6667, 0.3333, 0.5000)
Pr (0.7596, 0.7596, 0.7500)
Pr (0.2404, 0.0000, 0.7500)
Pr (0.0000, 0.2404, 0.7500)
Pb (0.6064, 0.0000, 0.7500)
Pb (0.3936, 0.3936, 0.7500)
Pr (0.2404, 0.2404, 0.2500)
Pr (0.3333, 0.6667, 0.0000)
Pb (0.3936, 0.0000, 0.2500)
Pb (0.0000, 0.6064, 0.7500)
Pb (0.0000, 0.3936, 0.2500)
Pr (0.6667, 0.3333, 0.0000)
Pr (0.3333, 0.6667, 0.5000)
Pb (0.6064, 0.6064, 0.2500)
Pr (0.0000, 0.7596, 0.2500)
Pr (0.7596, 0.0000, 0.2500)


Record 4
First-principles (PBE) data for a relaxed structure of PrPb3, as listed in Alexandria.

Computed properties:
formation enthalpy at 0 K = -0.291 eV/atom
size of the total moment = 0.00 μB/cell

Cell: 3.6509 5.8902 6.6857 Å, 116.14 105.85 90.00°
Element x y z (fractional)
Pb (0.5000, 0.4889, 0.0000)
Pb (0.2476, 0.5882, 0.4952)
Pr (0.0000, 0.9966, 0.0000)
Pb (0.7524, 0.0930, 0.5048)


Record 5
First-principles (PBE) data for a relaxed structure of Pr2Pb3, as listed in Alexandria.

Computed properties:
formation enthalpy at 0 K = -0.480 eV/atom
size of the total moment = 0.00 μB/cell

Cell: 4.5794 8.3739 8.3739 Å, 90.00 90.00 90.00°
Element x y z (fractional)
Pr (0.5000, 0.6756, 0.8244)
Pb (0.0000, 0.3715, 0.8715)
Pr (0.5000, 0.3244, 0.1756)
Pb (0.0000, 0.5000, 0.5000)
Pb (0.0000, 0.6285, 0.1285)
Pr (0.5000, 0.8244, 0.3244)
Pb (0.0000, 0.0000, 0.0000)
Pr (0.5000, 0.1756, 0.6756)
Pb (0.0000, 0.1285, 0.3715)
Pb (0.0000, 0.8715, 0.6285)


Record 6
First-principles (PBE) data for a relaxed structure of Pr3Pb4, as listed in Alexandria.

Computed properties:
formation enthalpy at 0 K = -0.608 eV/atom
size of the total moment = 0.00 μB/cell

Cell: 4.6624 6.4290 16.3337 Å, 90.01 90.00 111.26°
Element x y z (fractional)
Pr (0.6707, 0.3413, 0.0967)
Pb (0.3800, 0.7600, 0.1097)
Pr (0.0640, 0.1280, 0.7500)
Pb (0.7979, 0.5957, 0.7504)
Pr (0.6688, 0.3376, 0.4043)
Pb (0.6237, 0.2474, 0.8913)
Pr (0.3335, 0.6670, 0.5975)
Pb (0.6240, 0.2480, 0.6089)
Pb (0.0013, 0.0026, 0.0008)
Pb (0.3762, 0.7525, 0.3918)
Pb (0.9990, 0.9980, 0.4990)
Pr (0.3337, 0.6674, 0.9037)
Pr (0.9391, 0.8782, 0.2511)
Pb (0.2043, 0.4085, 0.2495)


Record 7
First-principles (PBE) data for a relaxed structure of Pr3Pb, as listed in Alexandria.

Computed properties:
formation enthalpy at 0 K = -0.276 eV/atom
size of the total moment = 0.00 μB/cell

Cell: 3.7202 6.1554 6.7970 Å, 116.92 105.88 90.00°
Element x y z (fractional)
Pb (0.0000, 0.0163, 0.0000)
Pr (0.7299, 0.0672, 0.4598)
Pr (0.2701, 0.6075, 0.5402)
Pr (0.5000, 0.4757, 0.0000)


Record 8
First-principles (PBE) data for a relaxed structure of Pr3Pb, as listed in Alexandria.

Computed properties:
formation enthalpy at 0 K = -0.346 eV/atom
size of the total moment = 0.00 μB/cell

Cell: 5.0353 5.0345 5.0344 Å, 90.00 90.00 90.00°
Element x y z (fractional)
Pr (0.5000, 0.5000, 0.0832)
Pr (0.0000, 0.0000, 0.0834)
Pb (0.5000, 0.0000, 0.5834)
Pr (0.0000, 0.5000, 0.5833)